Record 1
Material: BaTi3Au
Method: DFT, GGA-PBE
State: optimized geometry

Lattice parameters (Å, degrees): 5.1059 5.1059 5.1059 90.00 90.00 90.00
Last column: nearest neighbours and their distance in Å.
Positions (direct):
Ti (0.0000, 0.0000, 0.5000)  2 Au 2.55
Ti (0.5000, 0.0000, 0.0000)  2 Au 2.55
Ti (0.0000, 0.5000, 0.0000)  2 Au 2.55
Au (0.0000, 0.0000, 0.0000)  6 Ti 2.55
Ba (0.5000, 0.5000, 0.5000)  12 Ti 3.61

Symmetry: Pm-3m
Energy above the lowest structure with this stoichiometry, eV/atom: 0.000
Magnetic moment, μB/f.u.: 1.04


Record 2
Material: BaTi2Au
Method: DFT, GGA-PBE
State: optimized geometry

Lattice parameters (Å, degrees): 4.8897 4.8897 4.8897 60.00 60.00 60.00
Last column: nearest neighbours and their distance in Å.
Positions (direct):
Ti (0.2500, 0.2500, 0.2500)  4 Au 2.99, 4 Ba 2.99
Ti (0.7500, 0.7500, 0.7500)  4 Ba 2.99, 4 Au 2.99
Au (0.5000, 0.5000, 0.5000)  8 Ti 2.99
Ba (0.0000, 0.0000, 0.0000)  8 Ti 2.99

Symmetry: Fm-3m
Energy above the lowest structure with this stoichiometry, eV/atom: 0.019
Magnetic moment, μB/f.u.: 0.00


Record 3
Material: BaY2TiAu
Method: DFT, GGA-PBE
State: optimized geometry

Lattice parameters (Å, degrees): 5.6102 5.2674 5.6102 90.00 90.00 90.00
Last column: nearest neighbours and their distance in Å.
Positions (direct):
Ba (0.5000, 0.5000, 0.5000)  8 Y 3.85, 4 Ti 3.97
Y (0.0000, 0.0000, 0.5000)  2 Au 2.81
Y (0.5000, 0.0000, 0.0000)  2 Au 2.81
Au (0.0000, 0.0000, 0.0000)  2 Ti 2.63, 4 Y 2.81
Ti (0.0000, 0.5000, 0.0000)  2 Au 2.63

Symmetry: P4/mmm
Electronic total energy, eV per atom: -5.067
Magnetic moment, μB/f.u.: 0.01


Record 4
Material: Ba2Tl2Au
Method: DFT, GGA-PBE
State: optimized geometry

Lattice parameters (Å, degrees): 8.7949 8.7949 5.4594 90.00 90.00 90.00
Last column: nearest neighbours and their distance in Å.
Positions (direct):
Tl (0.8736, 0.3736, 0.5000)  1 Tl 3.15
Tl (0.3736, 0.1264, 0.5000)  1 Tl 3.15
Tl (0.6264, 0.8736, 0.5000)  1 Tl 3.15
Tl (0.1264, 0.6264, 0.5000)  1 Tl 3.15
Au (0.0000, 0.0000, 0.0000)  4 Ba 3.24
Au (0.5000, 0.5000, 0.0000)  4 Ba 3.24
Ba (0.8237, 0.6763, 0.0000)  2 Au 3.24
Ba (0.3237, 0.8237, 0.0000)  2 Au 3.24
Ba (0.6763, 0.1763, 0.0000)  2 Au 3.24
Ba (0.1763, 0.3237, 0.0000)  2 Au 3.24

Symmetry: P4/mbm
Energy above the lowest structure with this stoichiometry, eV/atom: 0.245
Magnetic moment, μB/f.u.: 0.00


Record 5
Material: Ba3TlAu2
Method: DFT, GGA-PBE
State: optimized geometry

Lattice parameters (Å, degrees): 4.0907 4.0907 12.5730 90.00 90.00 90.00
Last column: nearest neighbours and their distance in Å.
Positions (direct):
Tl (0.5000, 0.5000, 0.5000)  8 Ba 3.69, 4 Tl 4.09
Ba (0.0000, 0.0000, 0.0000)  8 Au 3.52
Ba (0.0000, 0.0000, 0.3182)  4 Au 3.51, 4 Tl 3.69
Ba (0.0000, 0.0000, 0.6818)  4 Au 3.51, 4 Tl 3.69
Au (0.5000, 0.5000, 0.1599)  8 Ba 3.51-3.52
Au (0.5000, 0.5000, 0.8401)  8 Ba 3.51-3.52

Symmetry: P4/mmm
Electronic total energy, eV per atom: -3.033
Magnetic moment, μB/f.u.: 0.00


Record 6
Material: BaTl3Au2
Method: DFT, GGA-PBE
State: optimized geometry

Lattice parameters (Å, degrees): 4.4386 9.6414 9.6410 62.40 76.69 76.69
Last column: nearest neighbours and their distance in Å.
Positions (direct):
Tl (0.0001, 0.6547, 0.3451)  4 Au 3.00-3.31, 1 Tl 3.09
Tl (0.3342, 0.4690, 0.8626)  3 Au 2.98-3.08
Tl (0.3344, 0.8623, 0.4690)  3 Au 2.98-3.08
Tl (0.9999, 0.3453, 0.6549)  4 Au 3.00-3.31, 1 Tl 3.09
Tl (0.6656, 0.1377, 0.5310)  3 Au 2.98-3.08
Tl (0.6658, 0.5310, 0.1374)  3 Au 2.98-3.08
Ba (0.1384, 0.8617, 0.8614)  6 Au 3.44-3.59, 6 Tl 3.68-3.78
Ba (0.8616, 0.1383, 0.1386)  6 Au 3.44-3.59, 6 Tl 3.68-3.78
Au (0.5001, 0.8561, 0.1437)  1 Au 2.87, 4 Tl 3.00-3.08
Au (0.8160, 0.6839, 0.6840)  6 Tl 2.98-3.31
Au (0.4999, 0.1439, 0.8563)  1 Au 2.87, 4 Tl 3.00-3.08
Au (0.1840, 0.3161, 0.3160)  6 Tl 2.98-3.31

Symmetry: Immm
Energy above the lowest structure with this stoichiometry, eV/atom: 0.000
Magnetic moment, μB/f.u.: 0.00


Record 7
Material: BaTl3Au2
Method: DFT, GGA-PBE
State: optimized geometry

Lattice parameters (Å, degrees): 4.9150 8.9506 9.4594 114.44 90.00 105.94
Last column: nearest neighbours and their distance in Å.
Positions (direct):
Ba (0.1423, 0.2846, 0.0556)  7 Au 3.42-3.69
Ba (0.8577, 0.7154, 0.9444)  7 Au 3.42-3.69
Au (0.5137, 0.0274, 0.1547)  1 Au 2.76, 2 Tl 2.98-3.02
Au (0.2082, 0.4165, 0.7625)  3 Tl 2.94
Au (0.4863, 0.9726, 0.8453)  1 Au 2.76, 2 Tl 2.98-3.02
Au (0.7918, 0.5835, 0.2375)  3 Tl 2.94
Tl (0.3108, 0.6216, 0.5811)  2 Au 2.94-2.98, 2 Tl 3.16
Tl (0.0455, 0.0910, 0.3784)  3 Au 3.13-3.51, 5 Tl 3.29-3.42
Tl (0.6042, 0.2084, 0.6842)  3 Au 2.94-3.02
Tl (0.9545, 0.9090, 0.6216)  3 Au 3.13-3.51, 5 Tl 3.29-3.42
Tl (0.3958, 0.7916, 0.3158)  3 Au 2.94-3.02
Tl (0.6892, 0.3784, 0.4189)  2 Au 2.94-2.98, 2 Tl 3.16

Symmetry: C2/m
Energy above the lowest structure with this stoichiometry, eV/atom: 0.002
Magnetic moment, μB/f.u.: 0.00


Record 8
Material: Ba3TlAu
Method: DFT, GGA-PBE
State: optimized geometry

Lattice parameters (Å, degrees): 6.4794 6.4803 11.6288 73.82 73.82 90.00
Last column: nearest neighbours and their distance in Å.
Positions (direct):
Ba (0.0925, 0.0923, 0.8150)  1 Au 3.37
Ba (0.7500, 0.2500, 0.5000)  4 Au 3.24
Ba (0.9075, 0.9077, 0.1850)  1 Au 3.37
Ba (0.4075, 0.4073, 0.1850)  1 Au 3.37
Ba (0.5925, 0.5927, 0.8150)  1 Au 3.37
Ba (0.2500, 0.7500, 0.5000)  4 Au 3.24
Tl (0.0000, 0.5000, 0.0000)  8 Ba 3.79-3.80
Tl (0.5000, 0.0000, 0.0000)  8 Ba 3.79-3.80
Au (0.7500, 0.7500, 0.5000)  6 Ba 3.24-3.37
Au (0.2500, 0.2500, 0.5000)  6 Ba 3.24-3.37

Symmetry: P4/mmm
Energy above the lowest structure with this stoichiometry, eV/atom: 0.000
Magnetic moment, μB/f.u.: 0.00


Repeat the second record exactly.
Material: BaTi2Au
Method: DFT, GGA-PBE
State: optimized geometry

Lattice parameters (Å, degrees): 4.8897 4.8897 4.8897 60.00 60.00 60.00
Last column: nearest neighbours and their distance in Å.
Positions (direct):
Ti (0.2500, 0.2500, 0.2500)  4 Au 2.99, 4 Ba 2.99
Ti (0.7500, 0.7500, 0.7500)  4 Ba 2.99, 4 Au 2.99
Au (0.5000, 0.5000, 0.5000)  8 Ti 2.99
Ba (0.0000, 0.0000, 0.0000)  8 Ti 2.99

Symmetry: Fm-3m
Energy above the lowest structure with this stoichiometry, eV/atom: 0.019
Magnetic moment, μB/f.u.: 0.00